Below is crystalline GdTmInTc at its relaxed geometry, with properties calculated at the GGA-PBE level.

The structure in CIF format:
```
data_GdTmInTc
_cell_length_a 5.0627
_cell_length_b 5.0627
_cell_length_c 5.0627
_cell_angle_alpha 60.00
_cell_angle_beta 60.00
_cell_angle_gamma 60.00
_space_group_name_H-M_alt 'P 1'
_space_group_IT_number 1
loop_
_space_group_symop_operation_xyz
'x,y,z'
loop_
_atom_site_label
_atom_site_type_symbol
_atom_site_fract_x
_atom_site_fract_y
_atom_site_fract_z
Gd1 Gd 0.2500 0.2500 0.2500
Tm1 Tm 0.7500 0.7500 0.7500
Tc1 Tc 0.5000 0.5000 0.5000
In1 In 0.0000 0.0000 0.0000
```

Summary:
SG: No. 216
E: -8.060 eV per atom
energy of formation: -0.1454 eV/atom
density: 9.754 g cm⁻³
crystal system: cubic



Below is crystalline CoPb4W at its relaxed geometry, with properties calculated at the GGA-PBE level.

The structure in CIF format:
```
data_CoPb4W
_cell_length_a 6.2115
_cell_length_b 6.2115
_cell_length_c 6.2115
_cell_angle_alpha 60.00
_cell_angle_beta 60.00
_cell_angle_gamma 60.00
_space_group_name_H-M_alt 'P 1'
_space_group_IT_number 1
loop_
_space_group_symop_operation_xyz
'x,y,z'
loop_
_atom_site_label
_atom_site_type_symbol
_atom_site_fract_x
_atom_site_fract_y
_atom_site_fract_z
Co1 Co 0.0000 0.0000 0.0000
Pb1 Pb 0.8731 0.3756 0.3756
Pb2 Pb 0.3756 0.3756 0.8731
Pb3 Pb 0.3756 0.8731 0.3756
Pb4 Pb 0.3756 0.3756 0.3756
W1 W 0.7500 0.7500 0.7500
```

Summary:
SG: No. 216
E: -4.307 eV per atom
energy of formation: 1.5081 eV/atom
density: 10.500 g cm⁻³
crystal system: cubic